Record 1
HoTeH | Alexandria via LeMat-Bulk | PBE | optimized geometry; final energy = -12.54 eV per formula unit; Fermi-level density of states = 1.76 states/eV/cell; calculated volume = 61.4 Å³/f.u.
1.0
3.414 0.000 0.000
0.000 3.414 0.000
-1.707 -1.707 5.270
Te H Ho
1 1 1
direct
0.009 0.009 0.019
0.277 0.277 0.554
0.714 0.714 0.427

***

Record 2
Ho4Te2H | Alexandria via LeMat-Bulk | PBE | optimized geometry; final energy = -33.28 eV per formula unit; Fermi-level density of states = 3.65 states/eV/cell; calculated volume = 162.4 Å³/f.u.
1.0
-1.985 -3.837 0.493
1.808 -0.431 3.931
-6.843 1.816 5.751
H Te Ho
1 2 4
direct
0.000 0.000 0.000
0.365 0.365 0.270
0.635 0.635 0.730
0.816 0.816 0.368
0.000 0.500 0.000
0.500 0.000 0.000
0.184 0.184 0.632

***

Record 3
HoTeH | Alexandria via LeMat-Bulk | PBE | optimized geometry; final energy = -14.22 eV per formula unit; calculated volume = 61.8 Å³/f.u.
1.0
-2.416 0.832 -3.017
3.197 -4.808 -1.296
-2.307 -6.903 -0.061
Ho Te H
2 2 2
direct
0.707 0.914 0.853
0.293 0.086 0.147
0.054 0.608 0.709
0.946 0.392 0.291
0.708 0.917 0.150
0.292 0.083 0.850

***

Record 4
Ho3TeH3 | Alexandria via LeMat-Bulk | PBE | optimized geometry; final energy = -31.06 eV per formula unit; Fermi-level density of states = 12.03 states/eV/cell; calculated volume = 117.7 Å³/f.u.
1.0
-2.860 -5.413 0.796
0.539 -1.172 -6.038
5.445 -2.728 1.015
Ho Te H
6 2 6
direct
0.750 0.500 0.000
0.000 0.250 0.500
0.250 0.500 0.000
0.000 0.750 0.500
0.500 0.000 0.750
0.500 0.000 0.250
0.500 0.500 0.500
0.000 0.000 0.000
0.000 0.500 0.750
0.250 0.000 0.500
0.750 0.000 0.500
0.000 0.500 0.250
0.500 0.250 0.000
0.500 0.750 0.000

***

Record 5
Ho5Th3H12 | Alexandria via LeMat-Bulk | PBE | optimized geometry; final energy = -94.49 eV per formula unit; Fermi-level density of states = 31.60 states/eV/cell; calculated volume = 287.9 Å³/f.u.
1.0
11.437 0.000 0.000
-3.812 10.783 0.000
-3.812 -5.391 9.338
Th H Ho
12 48 20
direct
0.375 0.750 0.625
0.750 0.875 0.625
0.375 0.625 0.250
0.750 0.375 0.125
0.125 0.250 0.875
0.875 0.750 0.125
0.250 0.625 0.875
0.250 0.125 0.375
0.625 0.250 0.375
0.875 0.125 0.250
0.625 0.375 0.750
0.125 0.875 0.750
0.854 0.277 0.435
0.576 0.723 0.658
0.935 0.582 0.158
0.924 0.082 0.646
0.424 0.146 0.582
0.723 0.576 0.158
0.854 0.576 0.918
0.723 0.146 0.065
0.918 0.842 0.565
0.082 0.158 0.435
0.658 0.435 0.582
0.435 0.658 0.082
0.158 0.076 0.723
0.582 0.935 0.658
0.582 0.646 0.424
0.076 0.158 0.223
0.277 0.854 0.935
0.146 0.723 0.565
0.342 0.777 0.424
0.576 0.854 0.418
0.354 0.418 0.076
0.565 0.223 0.146
0.082 0.924 0.146
0.277 0.424 0.842
0.918 0.076 0.854
0.842 0.924 0.277
0.658 0.223 0.576
0.777 0.342 0.924
0.842 0.918 0.065
0.223 0.658 0.076
0.354 0.935 0.777
0.777 0.435 0.354
0.158 0.082 0.935
0.065 0.646 0.723
0.565 0.342 0.918
0.418 0.354 0.576
0.646 0.065 0.223
0.223 0.565 0.646
0.342 0.565 0.418
0.418 0.065 0.342
0.424 0.277 0.342
0.646 0.582 0.924
0.924 0.842 0.777
0.076 0.918 0.354
0.065 0.418 0.842
0.935 0.354 0.277
0.146 0.424 0.082
0.435 0.777 0.854
0.750 0.625 0.375
0.000 0.500 0.000
0.875 0.625 0.750
0.750 0.125 0.875
0.375 0.125 0.750
0.125 0.750 0.375
0.500 0.000 0.500
0.125 0.375 0.250
0.250 0.375 0.625
0.625 0.750 0.875
0.000 0.500 0.500
0.500 0.500 0.000
0.250 0.875 0.125
0.625 0.875 0.250
0.875 0.250 0.625
0.375 0.250 0.125
0.000 0.000 0.500
0.000 0.000 0.000
0.500 0.000 0.000
0.500 0.500 0.500

***

Record 6
HoThH4 | Alexandria via LeMat-Bulk | PBE | optimized geometry; final energy = -29.07 eV per formula unit; Fermi-level density of states = 1.90 states/eV/cell; calculated volume = 74.5 Å³/f.u.
1.0
-2.548 1.077 -2.417
0.884 -2.817 -2.187
-3.747 -3.152 2.545
H Ho Th
4 1 1
direct
0.000 0.500 0.267
0.000 0.500 0.733
0.500 0.000 0.267
0.500 0.000 0.733
0.500 0.500 0.500
0.000 0.000 0.000

***

Record 7
HoTh3H8 | Alexandria via LeMat-Bulk | PBE | optimized geometry; final energy = -60.44 eV per formula unit; Fermi-level density of states = 1.01 states/eV/cell; calculated volume = 155.9 Å³/f.u.
1.0
5.382 0.000 0.000
0.000 5.382 0.000
0.000 0.000 5.382
H Ho Th
8 1 3
direct
0.758 0.242 0.242
0.242 0.242 0.242
0.758 0.758 0.242
0.242 0.242 0.758
0.758 0.242 0.758
0.242 0.758 0.242
0.242 0.758 0.758
0.758 0.758 0.758
0.000 0.000 0.000
0.500 0.500 0.000
0.000 0.500 0.500
0.500 0.000 0.500

***

Record 8
Ho4Th2H | Alexandria via LeMat-Bulk | PBE | optimized geometry; final energy = -35.28 eV per formula unit; Fermi-level density of states = 9.77 states/eV/cell; calculated volume = 199.9 Å³/f.u.
1.0
4.841 0.000 0.000
0.000 4.841 0.000
2.421 2.421 8.529
Ho H Th
4 1 2
direct
0.148 0.148 0.704
0.500 0.000 0.000
0.852 0.852 0.296
0.000 0.500 0.000
0.000 0.000 0.000
0.353 0.353 0.295
0.647 0.647 0.705

***

Record 9
Ho3ThH | Alexandria via LeMat-Bulk | PBE | optimized geometry; final energy = -25.21 eV per formula unit; Fermi-level density of states = 3.99 states/eV/cell; calculated volume = 123.0 Å³/f.u.
1.0
-3.989 1.285 -2.677
-1.322 -4.783 -0.324
-2.659 0.452 4.178
Ho H Th
3 1 1
direct
0.000 0.500 0.000
0.500 0.000 0.000
0.000 0.000 0.500
0.000 0.000 0.000
0.500 0.500 0.500

***

Record 10
HoTh3H | Alexandria via LeMat-Bulk | PBE | optimized geometry; final energy = -30.48 eV per formula unit; Fermi-level density of states = 7.68 states/eV/cell; calculated volume = 131.2 Å³/f.u.
1.0
-2.097 4.085 -2.176
-1.716 -2.905 -3.799
-4.299 -0.833 2.578
Th H Ho
3 1 1
direct
0.000 0.000 0.500
0.000 0.500 0.000
0.500 0.000 0.000
0.000 0.000 0.000
0.500 0.500 0.500

***

Record 11
HoTiH | Alexandria via LeMat-Bulk | PBE | optimized geometry; final energy = -16.17 eV per formula unit; Fermi-level density of states = 5.43 states/eV/cell; calculated volume = 48.8 Å³/f.u.
1.0
3.315 -0.567 -0.158
-0.705 5.774 0.300
0.539 1.665 5.261
H Ho Ti
2 2 2
direct
0.756 0.011 0.767
0.244 0.989 0.233
0.891 0.281 0.333
0.109 0.719 0.667
0.655 0.810 0.141
0.345 0.190 0.859

***

Record 12
Ho2TiH | Alexandria via LeMat-Bulk | PBE | optimized geometry; Fermi-level density of states = 3.38 states/eV/cell; calculated volume = 77.8 Å³/f.u.; energy relative to the lowest polymorph listed for this composition = 0 meV/atom
1.0
3.176 0.000 0.000
0.000 3.176 0.000
0.000 0.000 7.711
Ti Ho H
1 2 1
direct
0.500 0.500 0.500
0.000 0.000 0.783
0.000 0.000 0.217
0.500 0.500 0.000

***

Record 13
HoTiH2 | Alexandria via LeMat-Bulk | PBE | optimized geometry; final energy = -20.10 eV per formula unit; Fermi-level density of states = 3.48 states/eV/cell; calculated volume = 47.0 Å³/f.u.
1.0
3.205 0.000 0.000
1.603 2.776 0.000
1.603 0.925 5.283
H Ti Ho
2 1 1
direct
0.227 0.227 0.320
0.773 0.773 0.680
0.500 0.500 0.500
0.000 0.000 0.000

***

Record 14
Ho2TiH | Alexandria via LeMat-Bulk | PBE | optimized geometry; Fermi-level density of states = 5.12 states/eV/cell; calculated volume = 81.9 Å³/f.u.; energy relative to the lowest polymorph listed for this composition = 78 meV/atom
1.0
-0.615 -0.231 3.233
2.457 -0.644 2.105
2.085 8.224 2.667
Ho H Ti
2 1 1
direct
0.113 0.113 0.661
0.887 0.887 0.339
0.500 0.500 0.500
0.000 0.000 0.000

***

Record 15
Ho3TiH | Alexandria via LeMat-Bulk | PBE | optimized geometry; final energy = -25.02 eV per formula unit; Fermi-level density of states = 6.29 states/eV/cell; calculated volume = 109.5 Å³/f.u.
1.0
4.785 0.000 0.000
0.000 4.785 0.000
0.000 0.000 4.785
Ho H Ti
3 1 1
direct
0.000 0.000 0.500
0.500 0.000 0.000
0.000 0.500 0.000
0.000 0.000 0.000
0.500 0.500 0.500

***

Record 16
HoTiH3 | Alexandria via LeMat-Bulk | PBE | optimized geometry; final energy = -24.41 eV per formula unit; Fermi-level density of states = 1.05 states/eV/cell; calculated volume = 51.0 Å³/f.u.
1.0
-2.602 -0.893 -2.486
-1.603 -2.239 2.482
-2.099 2.817 1.185
H Ho Ti
3 1 1
direct
0.500 0.000 0.000
0.000 0.500 0.000
0.000 0.000 0.500
0.500 0.500 0.500
0.000 0.000 0.000

***

Record 17
Ho4Tl2H | Alexandria via LeMat-Bulk | PBE | optimized geometry; Fermi-level density of states = 8.61 states/eV/cell; calculated volume = 176.3 Å³/f.u.; energy relative to the lowest polymorph listed for this composition = 0 meV/atom
1.0
-4.259 3.960 1.929
-1.729 -4.246 4.898
8.176 1.407 4.106
Ho H Tl
8 2 4
direct
0.092 0.750 0.373
0.890 0.250 0.070
0.110 0.750 0.930
0.469 0.500 0.732
0.531 0.000 0.268
0.469 0.000 0.732
0.531 0.500 0.268
0.908 0.250 0.627
0.727 0.250 0.801
0.273 0.750 0.199
0.213 0.250 0.420
0.303 0.250 0.958
0.787 0.750 0.580
0.697 0.750 0.042

***

Record 18
Ho4Tl3H2 | Alexandria via LeMat-Bulk | PBE | optimized geometry; Fermi-level density of states = 4.35 states/eV/cell; calculated volume = 194.7 Å³/f.u.; energy relative to the lowest polymorph listed for this composition = 0 meV/atom
1.0
-2.025 1.413 -3.552
-1.595 -5.448 1.377
-5.492 4.184 4.795
Tl H Ho
3 2 4
direct
0.417 0.834 0.277
0.000 0.000 0.000
0.583 0.166 0.723
0.701 0.401 0.401
0.299 0.599 0.599
0.870 0.741 0.580
0.283 0.567 0.853
0.717 0.433 0.147
0.130 0.259 0.420

***

Record 19
Ho4Tl2H | Alexandria via LeMat-Bulk | PBE | optimized geometry; Fermi-level density of states = 4.02 states/eV/cell; calculated volume = 174.5 Å³/f.u.; energy relative to the lowest polymorph listed for this composition = 33 meV/atom
1.0
4.571 0.000 0.000
0.000 4.571 0.000
2.286 2.286 8.353
Ho Tl H
4 2 1
direct
0.000 0.500 0.000
0.177 0.177 0.646
0.500 0.000 0.000
0.823 0.823 0.354
0.363 0.363 0.273
0.637 0.637 0.727
0.000 0.000 0.000